Entry 1:
This record from the Alexandria database describes In3Ni at its PBEsol-relaxed geometry. The functional is meta-GGA SCAN.

The value obtained for the density is 8.55 g/cm³. The formation energy is -0.0536 eV per atom.

It has space group Pnma (No. 62), with a = 7.1314 Å, b = 8.0359 Å, c = 5.4633 Å, α = 90.00°, β = 90.00° and γ = 90.00°. The inequivalent atoms are In at (0.0141, 0.2500, 0.1030), In at (0.1747, 0.0550, 0.6402) and Ni at (0.1304, 0.7500, 0.4438).

Entry 2:
This record from the Alexandria database describes CdSe2O5 at its PBEsol-relaxed geometry. The functional is meta-GGA SCAN.

The value obtained for the density is 4.86 g/cm³. The energy relative to the elements, uncorrected is -1014 meV/atom.

It has space group C2/c (No. 15), with a = 8.0906 Å, b = 11.3460 Å, c = 5.9059 Å, α = 90.00°, β = 118.05° and γ = 90.00°. The inequivalent atoms are Cd at (0.0000, 0.0914, 0.2500), Se at (0.1486, 0.3592, 0.1131), O at (0.0000, 0.4151, 0.2500), O at (0.1577, 0.0642, 0.6834) and O at (0.2039, 0.2201, 0.2236).

Entry 3:
This record from the Alexandria database describes Cr3Fe at its PBEsol-relaxed geometry. The functional is meta-GGA SCAN.

The value obtained for the density is 8.02 g/cm³. The formation energy is 0.4061 eV per atom.

It has space group R-3m (No. 166, hexagonal axes), with a = 2.4636 Å, b = 2.4636 Å, c = 25.0189 Å, α = 90.00°, β = 90.00° and γ = 120.00°. The inequivalent atoms are Cr at (0.0000, 0.0000, 0.0000), Cr at (0.0000, 0.0000, 0.2460) and Fe at (0.0000, 0.0000, 0.5000).

no.,M_tot (μB per formula unit),VASP energy (eV per atom)
1,0.00,-29.1367
2,0.00,-13.7295
3,0.00,-17.9147